The following is a GGA+U calculation of RbW2F2 after structural relaxation, from Alexandria.

Results
**Total energy**: -19.752 eV for the cell shown
**Total magnetic moment**: 4.09 Bohr magnetons per cell
**Distance to the lowest polymorph of the same formula**: 0 meV per atom

Lattice parameters (Å, degrees): 7.703 7.703 7.703 151.37 151.37 40.93
Fractional positions:
Rb: 0.000 0.000 0.000
W: 0.250 0.750 0.500
W: 0.750 0.250 0.500
F: 0.394 0.394 0.000
F: 0.606 0.606 0.000